DFT (PBE) results for RhW2Br after structural relaxation.

Formation energy from raw total energies   4.40 eV/f.u.
Space-group type   No. 139
DOS at the Fermi energy   3.9 states/eV/f.u.
Total DFT energy (no corrections)   -30.53 eV per formula unit
E above lowest polymorph   722 meV/atom

POSCAR file:
```
RhW2Br
1.0
-1.908 1.908 4.565
1.908 -1.908 4.565
1.908 1.908 -4.565
Rh W Br
1 2 1
Direct
0.000 0.000 0.000
0.250 0.750 0.500
0.750 0.250 0.500
0.500 0.500 0.000
```